[1]
! TaZnSb2 (GGA-PBE, optimized geometry); values from VASP
&SYSTEM
  ibrav = 0, nat = 8, ntyp = 3
/
ATOMIC_SPECIES
Sb 121.76 Sb.upf
Zn 65.41 Zn.upf
Ta 180.95 Ta.upf
CELL_PARAMETERS angstrom
6.355 0.000 0.000
0.000 6.355 0.000
3.177 3.177 6.088
ATOMIC_POSITIONS crystal
Sb 0.624 0.125 0.250
Sb 0.126 0.625 0.250
Sb 0.375 0.376 0.750
Sb 0.875 0.874 0.750
Zn 0.500 0.500 0.000
Zn 0.250 0.750 0.500
Ta 0.000 0.000 0.000
Ta 0.750 0.250 0.500
! Mass density: 6.6 g/cm3
! Magnetic moment: 1.7 μB/cell
! Formation energy from raw total energies: 0.4959 eV per atom

***

[2]
! Ta2ZnSb (GGA-PBE, optimized geometry); values from VASP
&SYSTEM
  ibrav = 0, nat = 4, ntyp = 3
/
ATOMIC_SPECIES
Sb 121.76 Sb.upf
Ta 180.95 Ta.upf
Zn 65.41 Zn.upf
CELL_PARAMETERS angstrom
3.558 0.000 0.000
0.000 3.558 0.000
0.000 0.000 5.881
ATOMIC_POSITIONS crystal
Sb 0.500 0.500 0.746
Ta 0.000 0.000 0.020
Ta 0.500 0.500 0.250
Zn 0.000 0.000 0.484
! Mass density: 12.2 g/cm3
! Magnetic moment: 0.0 μB/cell
! E above lowest polymorph: 0.0 meV per atom
! Formation energy from raw total energies: 0.0384 eV per atom

***

[3]
! TaZnSb (GGA-PBE, optimized geometry); values from VASP
&SYSTEM
  ibrav = 0, nat = 3, ntyp = 3
/
ATOMIC_SPECIES
Sb 121.76 Sb.upf
Ta 180.95 Ta.upf
Zn 65.41 Zn.upf
CELL_PARAMETERS angstrom
-2.781 4.115 1.562
-3.411 -0.186 3.929
4.893 -1.354 -1.156
ATOMIC_POSITIONS crystal
Sb 0.997 0.997 0.000
Ta 0.329 0.329 0.000
Zn 0.674 0.674 0.000
! Mass density: 10.9 g/cm3
! Magnetic moment: 0.0 μB/cell
! Formation energy from raw total energies: 0.1594 eV per atom

***

[4]
! TaZn2Sb (GGA-PBE, optimized geometry); values from VASP
&SYSTEM
  ibrav = 0, nat = 4, ntyp = 3
/
ATOMIC_SPECIES
Sb 121.76 Sb.upf
Ta 180.95 Ta.upf
Zn 65.41 Zn.upf
CELL_PARAMETERS angstrom
-3.607 -0.978 3.656
-1.314 -5.035 0.500
4.495 2.664 -0.164
ATOMIC_POSITIONS crystal
Sb 0.500 0.500 0.000
Ta 0.250 0.750 0.500
Zn 0.000 0.000 0.000
Zn 0.750 0.250 0.500
! Mass density: 10.3 g/cm3
! Magnetic moment: 0.0 μB/cell
! Formation energy from raw total energies: 0.0437 eV per atom

***

[5]
! Ta2ZnSb (GGA-PBE, optimized geometry); values from VASP
&SYSTEM
  ibrav = 0, nat = 4, ntyp = 3
/
ATOMIC_SPECIES
Sb 121.76 Sb.upf
Ta 180.95 Ta.upf
Zn 65.41 Zn.upf
CELL_PARAMETERS angstrom
2.974 0.009 0.000
-0.720 2.886 0.000
0.000 0.000 9.615
ATOMIC_POSITIONS crystal
Sb 0.500 0.500 0.784
Ta 0.000 0.000 0.019
Ta 0.500 0.500 0.245
Zn 0.000 0.000 0.451
! Mass density: 11.0 g/cm3
! Magnetic moment: 0.0 μB/cell
! E above lowest polymorph: 117.2 meV per atom
! Formation energy from raw total energies: 0.1557 eV per atom

***

[6]
! Ta2ZnSb (GGA-PBE, optimized geometry); values from VASP
&SYSTEM
  ibrav = 0, nat = 4, ntyp = 3
/
ATOMIC_SPECIES
Sb 121.76 Sb.upf
Ta 180.95 Ta.upf
Zn 65.41 Zn.upf
CELL_PARAMETERS angstrom
-0.149 4.328 1.220
0.251 -0.797 2.858
5.590 0.046 0.517
ATOMIC_POSITIONS crystal
Sb 0.500 0.750 0.750
Ta 0.000 0.983 0.014
Ta 0.000 0.517 0.486
Zn 0.500 0.250 0.250
! Mass density: 12.3 g/cm3
! Magnetic moment: 0.0 μB/cell
! E above lowest polymorph: 140.5 meV per atom
! Formation energy from raw total energies: 0.1789 eV per atom

***

[7]
! Ta2ZnSb2 (GGA-PBE, optimized geometry); values from VASP
&SYSTEM
  ibrav = 0, nat = 10, ntyp = 3
/
ATOMIC_SPECIES
Sb 121.76 Sb.upf
Zn 65.41 Zn.upf
Ta 180.95 Ta.upf
CELL_PARAMETERS angstrom
7.464 0.000 0.000
0.000 7.464 0.000
0.000 0.000 3.689
ATOMIC_POSITIONS crystal
Sb 0.155 0.655 0.500
Sb 0.655 0.845 0.500
Sb 0.845 0.345 0.500
Sb 0.345 0.155 0.500
Zn 0.000 0.000 0.000
Zn 0.500 0.500 0.000
Ta 0.359 0.859 0.000
Ta 0.859 0.641 0.000
Ta 0.641 0.141 0.000
Ta 0.141 0.359 0.000
! Mass density: 10.8 g/cm3
! Magnetic moment: 0.0 μB/cell
! Formation energy from raw total energies: 0.1089 eV per atom

***

[8]
! TaZn2Sb (GGA-PBE, optimized geometry); values from VASP
&SYSTEM
  ibrav = 0, nat = 4, ntyp = 3
/
ATOMIC_SPECIES
Sb 121.76 Sb.upf
Ta 180.95 Ta.upf
Zn 65.41 Zn.upf
CELL_PARAMETERS angstrom
2.965 0.046 0.000
-0.198 2.958 0.000
0.000 0.000 8.810
ATOMIC_POSITIONS crystal
Sb 0.500 0.500 0.250
Ta 0.500 0.500 0.750
Zn 0.000 0.000 0.967
Zn 0.000 0.000 0.533
! Mass density: 9.3 g/cm3
! Magnetic moment: 0.0 μB/cell
! Formation energy from raw total energies: 0.2220 eV per atom